This record from Alexandria via LeMat-Bulk describes a geometry-optimized Ba8Hg2Au structure. The functional is PBE.

Values from the calculation:
The calculation puts the energy of formation from the pure elements at -0.293 eV/atom. For the total energy, the calculation gives -2.04 eV/atom.

a b c (Å): 14.657 10.514 8.086
angles (deg): 90.00 108.42 90.00
Space group C2/m (No. 12)
One atom of each set of equivalent atoms:
Ba1 0.076 0.000 0.275 [4 per cell]
Ba2 0.130 0.500 0.238 [4 per cell]
Ba3 0.149 0.292 0.740 [8 per cell]
Hg1 0.184 0.000 0.953 [4 per cell]
Au1 0.000 0.500 0.500 [2 per cell]